Entry a
Density functional theory data (PBE) for a geometry-optimized CaTbPdPt structure.

* DOS(E_F): 3.09 states/eV per cell

Structure (POSCAR):
```
CaTbPdPt
1.0
-3.165 -3.594 1.241
1.701 -4.277 1.813
-0.718 -1.128 4.764
Ca Tb Pd Pt
1 1 1 1
Direct
0.750 0.750 0.750 Ca
0.250 0.250 0.250 Tb
0.500 0.500 0.500 Pd
0.000 0.000 0.000 Pt
```


Entry b
Density functional theory data (PBE) for a geometry-optimized CaTbPdPt structure.

* DOS(E_F): 1.28 states/eV per cell

Structure (POSCAR):
```
CaTbPdPt
1.0
3.863 0.000 0.000
0.000 4.373 0.000
-1.931 0.000 5.428
Ca Tb Pd Pt
1 1 1 1
Direct
0.142 0.000 0.283 Ca
0.863 0.500 0.726 Tb
0.581 0.500 0.162 Pd
0.414 0.000 0.829 Pt
```


The structure shown above that is least stable: entry a.